[1]
PrDyCuOs | GGA-PBE | relaxed

Values from the calculation:
Energy relative to the elements ... -0.126 eV/atom
Crystal system ... cubic
Spin magnetization ... 0.0 μB per formula unit
Density ... 10.8 g/cm3

Geometry as POSCAR:
```
PrDyCuOs
1.0
4.954 0.000 0.000
2.477 4.290 0.000
2.477 1.430 4.045
Pr Os Cu Dy
1 1 1 1
Direct
0.000 0.000 0.000
0.250 0.250 0.250
0.750 0.750 0.750
0.500 0.500 0.500
```

[2]
DyPuCuOs | GGA-PBE | relaxed

Values from the calculation:
Energy relative to the elements ... -0.078 eV/atom
Crystal system ... cubic
Spin magnetization ... 5.5 μB per formula unit
Density ... 13.6 g/cm3

Geometry as POSCAR:
```
DyPuCuOs
1.0
4.846 0.000 0.000
2.423 4.197 0.000
2.423 1.399 3.957
Dy Os Cu Pu
1 1 1 1
Direct
0.500 0.500 0.500
0.750 0.750 0.750
0.250 0.250 0.250
0.000 0.000 0.000
```

[3]
DyScCuOs | GGA-PBE | relaxed

Values from the calculation:
Energy relative to the elements ... -0.303 eV/atom
Crystal system ... cubic
Spin magnetization ... 0.0 μB per formula unit
Density ... 10.3 g/cm3

Geometry as POSCAR:
```
DyScCuOs
1.0
-3.148 3.508 -0.174
-3.526 0.163 3.129
-0.024 3.315 3.355
Sc Os Cu Dy
1 1 1 1
Direct
0.500 0.500 0.500
0.750 0.750 0.750
0.250 0.250 0.250
0.000 0.000 0.000
```

[4]
SmDyCuOs | GGA-PBE | relaxed

Values from the calculation:
Energy relative to the elements ... -0.192 eV/atom
Crystal system ... cubic
Spin magnetization ... 0.0 μB per formula unit
Density ... 11.3 g/cm3

Geometry as POSCAR:
```
SmDyCuOs
1.0
-0.880 -4.429 1.909
0.648 -4.020 -2.732
3.725 -3.041 0.958
Os Cu Sm Dy
1 1 1 1
Direct
0.750 0.750 0.750
0.250 0.250 0.250
0.500 0.500 0.500
0.000 0.000 0.000
```

[5]
DyThCuOs | GGA-PBE | relaxed

Values from the calculation:
Energy relative to the elements ... -0.219 eV/atom
Crystal system ... cubic
Spin magnetization ... 0.0 μB per formula unit
Density ... 12.4 g/cm3

Geometry as POSCAR:
```
DyThCuOs
1.0
-3.487 0.741 3.458
-0.103 -2.842 4.071
1.242 1.927 4.406
Os Cu Th Dy
1 1 1 1
Direct
0.750 0.750 0.750
0.250 0.250 0.250
0.500 0.500 0.500
0.000 0.000 0.000
```

[6]
DyTmCuOs | GGA-PBE | relaxed

Values from the calculation:
Energy relative to the elements ... -0.293 eV/atom
Crystal system ... cubic
Spin magnetization ... 0.0 μB per formula unit
Density ... 12.3 g/cm3

Geometry as POSCAR:
```
DyTmCuOs
1.0
4.819 0.000 0.000
2.410 4.174 0.000
2.410 1.391 3.935
Tm Os Cu Dy
1 1 1 1
Direct
0.500 0.500 0.500
0.750 0.750 0.750
0.250 0.250 0.250
0.000 0.000 0.000
```

[7]
DyYCuOs | GGA-PBE | relaxed

Values from the calculation:
Energy relative to the elements ... -0.244 eV/atom
Crystal system ... cubic
Spin magnetization ... 0.0 μB per formula unit
Density ... 10.3 g/cm3

Geometry as POSCAR:
```
DyYCuOs
1.0
4.861 0.000 0.000
2.430 4.210 0.000
2.430 1.403 3.969
Y Os Cu Dy
1 1 1 1
Direct
0.750 0.750 0.750
0.500 0.500 0.500
0.000 0.000 0.000
0.250 0.250 0.250
```

[8]
Dy4ZnCu2Os | GGA-PBE | relaxed

Values from the calculation:
Energy relative to the elements ... -0.293 eV/atom
Crystal system ... trigonal
Spin magnetization ... 0.0 μB per formula unit
Density ... 10.2 g/cm3

Geometry as POSCAR:
```
Dy4ZnCu2Os
1.0
-4.065 0.070 -2.788
-4.368 -1.141 1.981
-3.970 7.347 1.613
Dy Zn Cu Os
4 1 2 1
Direct
0.380 0.380 0.859
0.870 0.870 0.389
0.130 0.130 0.611
0.620 0.620 0.141
0.000 0.000 0.000
0.745 0.745 0.764
0.255 0.255 0.236
0.500 0.500 0.500
```

[9]
DyZrCuOs | GGA-PBE | relaxed

Values from the calculation:
Energy relative to the elements ... -0.260 eV/atom
Crystal system ... cubic
Spin magnetization ... 0.0 μB per formula unit
Density ... 11.1 g/cm3

Geometry as POSCAR:
```
DyZrCuOs
1.0
4.749 0.000 0.000
2.374 4.113 0.000
2.374 1.371 3.877
Os Cu Zr Dy
1 1 1 1
Direct
0.750 0.750 0.750
0.250 0.250 0.250
0.500 0.500 0.500
0.000 0.000 0.000
```

[10]
DyCu4P3 | GGA-PBE | relaxed

Values from the calculation:
Energy relative to the elements ... -0.436 eV/atom
Crystal system ... tetragonal
Spin magnetization ... 0.0 μB per formula unit
Density ... 7.1 g/cm3

Geometry as POSCAR:
```
DyCu4P3
1.0
3.938 0.000 0.000
0.000 3.938 0.000
0.000 0.000 7.635
P Cu Dy
3 4 1
Direct
0.000 0.000 0.000
0.500 0.500 0.351
0.500 0.500 0.649
0.500 0.000 0.180
0.000 0.500 0.180
0.500 0.000 0.820
0.000 0.500 0.820
0.000 0.000 0.500
```

[11]
Dy4Cu5P7 | GGA-PBE | relaxed

Values from the calculation:
Energy relative to the elements ... -0.819 eV/atom
Crystal system ... tetragonal
Spin magnetization ... 0.0 μB per formula unit
Density ... 7.3 g/cm3

Geometry as POSCAR:
```
Dy4Cu5P7
1.0
10.396 0.028 0.000
7.701 6.983 0.000
-9.048 -3.506 3.730
Dy Cu P
4 5 7
Direct
0.624 0.142 0.000
0.142 0.624 0.000
0.376 0.376 0.518
0.858 0.858 0.482
0.749 0.749 0.000
0.251 0.251 0.000
0.250 0.750 0.500
0.750 0.250 0.500
0.000 0.000 0.000
0.417 0.926 0.000
0.926 0.417 0.000
0.583 0.583 0.510
0.074 0.074 0.490
0.500 0.500 0.000
0.500 0.000 0.500
0.000 0.500 0.500
```

[12]
Dy2CuP3Pt4 | GGA-PBE | relaxed

Values from the calculation:
Energy relative to the elements ... -0.874 eV/atom
Crystal system ... tetragonal
Spin magnetization ... 0.0 μB per formula unit
Density ... 12.2 g/cm3

Geometry as POSCAR:
```
Dy2CuP3Pt4
1.0
4.203 0.000 0.000
0.000 4.203 0.000
0.000 0.000 9.737
Dy Cu P Pt
2 1 3 4
Direct
0.500 0.000 0.250
0.000 0.500 0.750
0.500 0.500 0.500
0.000 0.000 0.500
0.500 0.000 0.865
0.000 0.500 0.135
0.500 0.500 0.000
0.000 0.000 0.000
0.500 0.000 0.630
0.000 0.500 0.370
```

[13]
Dy8CuP3Se4 | GGA-PBE | relaxed

Values from the calculation:
E_form (uncorrected) ... -1.558 eV per atom
Crystal system ... trigonal
Spin magnetization ... 0.0 μB per formula unit
Density ... 7.8 g/cm3

Geometry as POSCAR:
```
Dy8CuP3Se4
1.0
8.054 0.000 0.000
0.000 8.138 0.054
-4.027 -4.023 5.698
Dy Cu P Se
8 1 3 4
Direct
0.246 0.735 0.989
0.246 0.735 0.493
0.257 0.272 0.515
0.742 0.735 0.989
0.258 0.265 0.011
0.743 0.728 0.485
0.754 0.265 0.507
0.754 0.265 0.011
0.000 0.500 0.000
0.500 0.500 0.000
0.500 0.500 0.500
0.000 0.500 0.500
0.500 0.000 0.000
0.500 0.000 0.500
0.000 0.000 0.000
0.000 0.000 0.500
```

[14]
Dy4CuPSe2 | GGA-PBE | relaxed

Values from the calculation:
E_form (uncorrected) ... -1.337 eV per atom
Crystal system ... monoclinic
Spin magnetization ... 0.0 μB per formula unit
Density ... 8.0 g/cm3

Geometry as POSCAR:
```
Dy4CuPSe2
1.0
3.991 0.000 0.000
0.000 7.015 0.162
0.000 -2.415 6.657
Dy Cu P Se
4 1 1 2
Direct
0.500 0.249 0.239
0.500 0.751 0.761
0.000 0.260 0.765
0.000 0.740 0.235
0.000 0.000 0.000
0.500 0.500 0.000
0.500 0.000 0.500
0.000 0.500 0.500
```

[15]
DyPaCu | GGA-PBE | relaxed

Values from the calculation:
Relative energy among the computed polymorphs ... 0 meV per atom
Energy relative to the elements ... -0.025 eV/atom
Crystal system ... orthorhombic
Spin magnetization ... 0.0 μB per formula unit
Density ... 11.1 g/cm3

Geometry as POSCAR:
```
DyPaCu
1.0
3.279 0.000 0.000
0.000 5.149 0.000
-1.639 0.000 8.066
Cu Dy Pa
2 2 2
Direct
0.414 0.250 0.827
0.586 0.750 0.173
0.926 0.750 0.851
0.074 0.250 0.149
0.765 0.250 0.530
0.235 0.750 0.470
```

[16]
DyPaCu2 | GGA-PBE | relaxed

Values from the calculation:
Relative energy among the computed polymorphs ... 197 meV per atom
Energy relative to the elements ... 0.191 eV/atom
Crystal system ... trigonal
Spin magnetization ... 0.0 μB per formula unit
Density ... 10.2 g/cm3

Geometry as POSCAR:
```
DyPaCu2
1.0
3.346 0.000 0.000
1.673 2.897 0.000
1.673 0.966 8.773
Pa Cu Dy
1 2 1
Direct
0.000 0.000 0.000
0.751 0.751 0.747
0.249 0.249 0.253
0.500 0.500 0.500
```

[17]
DyPaCu2 | GGA-PBE | relaxed

Values from the calculation:
Relative energy among the computed polymorphs ... 72 meV per atom
Energy relative to the elements ... 0.066 eV/atom
Crystal system ... cubic
Spin magnetization ... 0.4 μB per formula unit
Density ... 10.5 g/cm3

Geometry as POSCAR:
```
DyPaCu2
1.0
4.879 0.000 0.000
2.439 4.225 0.000
2.439 1.408 3.984
Pa Cu Dy
1 2 1
Direct
0.000 0.000 0.000
0.250 0.250 0.250
0.750 0.750 0.750
0.500 0.500 0.500
```

[18]
DyPaCu10 | GGA-PBE | relaxed

Values from the calculation:
Energy relative to the elements ... -0.090 eV/atom
Crystal system ... orthorhombic
Spin magnetization ... 0.5 μB per formula unit
Density ... 9.5 g/cm3

Geometry as POSCAR:
```
DyPaCu10
1.0
4.104 0.000 0.000
0.000 5.046 0.000
0.000 0.000 8.666
Dy Pa Cu
1 1 10
Direct
0.000 0.000 0.000
0.000 0.500 0.500
0.000 0.000 0.333
0.000 0.500 0.833
0.000 0.500 0.167
0.000 0.000 0.667
0.500 0.000 0.500
0.500 0.500 0.000
0.500 0.252 0.252
0.500 0.748 0.748
0.500 0.748 0.252
0.500 0.252 0.748
```

[19]
DyPaCu | GGA-PBE | relaxed

Values from the calculation:
Relative energy among the computed polymorphs ... 122 meV per atom
Energy relative to the elements ... 0.096 eV/atom
Crystal system ... tetragonal
Spin magnetization ... 0.0 μB per formula unit
Density ... 11.1 g/cm3

Geometry as POSCAR:
```
DyPaCu
1.0
3.290 0.000 0.000
0.000 3.290 0.000
-1.645 -1.645 6.335
Pa Cu Dy
1 1 1
Direct
0.314 0.314 0.629
0.667 0.667 0.334
0.019 0.019 0.038
```

[20]
DyPaCu2 | GGA-PBE | relaxed

Values from the calculation:
Relative energy among the computed polymorphs ... 0 meV per atom
Energy relative to the elements ... -0.006 eV/atom
Crystal system ... tetragonal
Spin magnetization ... 0.0 μB per formula unit
Density ... 10.7 g/cm3

Geometry as POSCAR:
```
DyPaCu2
1.0
3.288 0.000 0.000
0.000 3.288 0.000
0.000 0.000 7.474
Pa Cu Dy
1 2 1
Direct
0.500 0.500 0.000
0.000 0.000 0.747
0.000 0.000 0.253
0.500 0.500 0.500
```

[21]
Dy2PaCu9 | GGA-PBE | relaxed

Values from the calculation:
Energy relative to the elements ... -0.107 eV/atom
Crystal system ... trigonal
Spin magnetization ... 0.3 μB per formula unit
Density ... 9.8 g/cm3

Geometry as POSCAR:
```
Dy2PaCu9
1.0
-4.548 -1.442 -1.970
-0.261 -4.036 -3.208
-2.791 -6.860 4.705
Dy Pa Cu
2 1 9
Direct
0.857 0.857 0.428
0.143 0.143 0.572
0.000 0.000 0.000
0.668 0.668 0.996
0.332 0.332 0.004
0.500 0.500 0.500
0.419 0.419 0.245
0.917 0.419 0.245
0.419 0.917 0.245
0.581 0.581 0.755
0.581 0.083 0.755
0.083 0.581 0.755
```

[22]
DyPaCu4 | GGA-PBE | relaxed

Values from the calculation:
Energy relative to the elements ... -0.027 eV/atom
Crystal system ... cubic
Spin magnetization ... 0.0 μB per formula unit
Density ... 10.7 g/cm3

Geometry as POSCAR:
```
DyPaCu4
1.0
5.218 0.000 0.000
2.609 4.519 0.000
2.609 1.506 4.260
Pa Cu Dy
1 4 1
Direct
0.250 0.250 0.250
0.625 0.625 0.125
0.625 0.125 0.625
0.625 0.625 0.625
0.125 0.625 0.625
0.000 0.000 0.000
```

[23]
DyPa2Cu6 | GGA-PBE | relaxed

Values from the calculation:
Energy relative to the elements ... -0.111 eV/atom
Crystal system ... hexagonal
Spin magnetization ... 0.4 μB per formula unit
Density ... 10.6 g/cm3

Geometry as POSCAR:
```
DyPa2Cu6
1.0
3.167 0.000 0.000
0.000 6.563 -3.789
0.000 0.000 7.578
Dy Pa Cu
1 2 6
Direct
0.000 0.000 0.000
0.000 0.333 0.667
0.000 0.667 0.333
0.500 0.334 0.334
0.500 0.666 0.666
0.500 0.000 0.666
0.500 0.666 0.000
0.500 0.334 0.000
0.500 0.000 0.334
```

[24]
Dy2PaCuS5 | GGA-PBE | relaxed

Values from the calculation:
E_form (uncorrected) ... -1.563 eV per atom
Crystal system ... orthorhombic
Spin magnetization ... 1.1 μB per formula unit
Density ... 7.1 g/cm3

Geometry as POSCAR:
```
Dy2PaCuS5
1.0
3.745 0.000 0.000
-1.873 8.271 0.000
0.000 0.000 11.813
Dy Pa Cu S
4 2 2 10
Direct
0.891 0.783 0.847
0.115 0.230 0.693
0.109 0.217 0.347
0.885 0.770 0.193
0.820 0.640 0.527
0.180 0.360 0.027
0.549 0.098 0.920
0.451 0.902 0.420
0.345 0.691 0.019
0.681 0.362 0.855
0.494 0.988 0.747
0.304 0.608 0.697
0.984 0.967 0.519
0.655 0.309 0.519
0.319 0.638 0.355
0.506 0.012 0.247
0.696 0.392 0.197
0.016 0.033 0.019
```

[25]
Dy12Cu6Pb | GGA-PBE | relaxed

Values from the calculation:
Energy relative to the elements ... -0.213 eV/atom
Crystal system ... cubic
Spin magnetization ... 0.0 μB per formula unit
Density ... 8.7 g/cm3

Geometry as POSCAR:
```
Dy12Cu6Pb
1.0
-3.958 4.048 6.423
4.632 -6.483 3.135
5.159 5.482 -4.081
Dy Cu Pb
12 6 1
Direct
0.300 0.111 0.811
0.300 0.490 0.189
0.700 0.510 0.811
0.700 0.889 0.189
0.111 0.811 0.300
0.490 0.189 0.300
0.510 0.811 0.700
0.889 0.189 0.700
0.811 0.300 0.111
0.189 0.300 0.490
0.811 0.700 0.510
0.189 0.700 0.889
0.377 0.500 0.877
0.623 0.500 0.123
0.500 0.877 0.377
0.500 0.123 0.623
0.877 0.377 0.500
0.123 0.623 0.500
0.000 0.000 0.000
```